Entry 1:
Computed, not measured: crystalline Zr2CdTe3Se at its relaxed geometry at the GGA-PBE level of DFT. Values from VASP.

Quantum ESPRESSO input file:
```
&SYSTEM
  ibrav = 0, nat = 7, ntyp = 4
/
ATOMIC_SPECIES
Te 127.60 Te.upf
Zr 91.22 Zr.upf
Se 78.96 Se.upf
Cd 112.41 Cd.upf
CELL_PARAMETERS angstrom
-0.5970 3.6237 -4.9762
-6.4492 -1.5686 -0.3854
-4.6782 5.4154 1.1904
ATOMIC_POSITIONS crystal
Te 0.6158 0.1489 0.2523
Te 0.8702 0.9068 0.7085
Zr 0.2767 0.7397 0.5425
Te 0.1189 0.5892 0.2878
Zr 0.4850 0.5308 0.9520
Se 0.3832 0.3414 0.7416
Cd 0.0002 0.9931 0.0154
```



Entry 2:
Computed, not measured: crystalline YTmAl2Si2 at its relaxed geometry at the GGA-PBE level of DFT. Values from VASP.

Quantum ESPRESSO input file:
```
&SYSTEM
  ibrav = 0, nat = 6, ntyp = 4
/
ATOMIC_SPECIES
Y 88.91 Y.upf
Si 28.09 Si.upf
Al 26.98 Al.upf
Tm 168.93 Tm.upf
CELL_PARAMETERS angstrom
5.6834 0.0000 0.0000
0.0000 1.9952 5.1209
0.0000 -1.9952 5.1209
ATOMIC_POSITIONS crystal
Y 0.5000 0.6946 0.6946
Si 0.0000 0.6004 0.6004
Al 0.2494 0.9994 0.9994
Tm 0.0000 0.3063 0.3063
Al 0.7506 0.9994 0.9994
Si 0.5000 0.3998 0.3998
```



Entry 3:
Computed, not measured: crystalline Sr2Al4IrAu at its relaxed geometry at the GGA-PBE level of DFT. Values from VASP.

Quantum ESPRESSO input file:
```
&SYSTEM
  ibrav = 0, nat = 8, ntyp = 4
/
ATOMIC_SPECIES
Sr 87.62 Sr.upf
Ir 192.22 Ir.upf
Al 26.98 Al.upf
Au 196.97 Au.upf
CELL_PARAMETERS angstrom
7.4525 0.0000 0.0000
0.0000 2.1247 5.7431
0.0000 -2.1247 5.7431
ATOMIC_POSITIONS crystal
Sr 0.5000 0.4506 0.4506
Ir 0.5000 0.7190 0.7190
Al 0.3188 0.1761 0.1761
Al 0.2008 0.8249 0.8249
Sr 0.0000 0.5513 0.5513
Al 0.7992 0.8249 0.8249
Au 0.0000 0.2770 0.2770
Al 0.6812 0.1761 0.1761
```



Entry 4:
! PrBiNO (GGA-PBE, optimized geometry); values from VASP
! Offset from the most stable computed form = 129.3 meV per atom
&SYSTEM
  ibrav = 0, nat = 8, ntyp = 4
/
ATOMIC_SPECIES
N 14.01 N.upf
Bi 208.98 Bi.upf
O 16.00 O.upf
Pr 140.91 Pr.upf
CELL_PARAMETERS angstrom
4.0348 0.0000 0.0000
0.0000 6.4987 0.0000
0.0000 0.0000 6.7284
ATOMIC_POSITIONS crystal
N 0.0000 0.4037 0.6182
Bi 0.0000 0.0539 0.6754
O 0.5000 0.8050 0.9270
Bi 0.0000 0.5539 0.3246
N 0.0000 0.9037 0.3818
Pr 0.5000 0.9914 0.2012
O 0.5000 0.3050 0.0730
Pr 0.5000 0.4914 0.7988



Entry 5:
! NbCoHgAs (GGA-PBE, optimized geometry); values from VASP
! Offset from the most stable computed form = 245.7 meV per atom
&SYSTEM
  ibrav = 0, nat = 4, ntyp = 4
/
ATOMIC_SPECIES
Co 58.93 Co.upf
As 74.92 As.upf
Hg 200.59 Hg.upf
Nb 92.91 Nb.upf
CELL_PARAMETERS angstrom
4.0488 0.1381 2.1701
0.7772 -2.7595 3.5919
2.9389 -3.5112 -0.3934
ATOMIC_POSITIONS crystal
Co 0.7500 0.7500 0.7500
As 0.0000 0.0000 0.0000
Hg 0.2500 0.2500 0.2500
Nb 0.5000 0.5000 0.5000



Entry 6:
Computed, not measured: crystalline Nb3SBr3Cl4 at its relaxed geometry at the GGA-PBE level of DFT. Values from VASP.

Quantum ESPRESSO input file:
```
&SYSTEM
  ibrav = 0, nat = 11, ntyp = 4
/
ATOMIC_SPECIES
Cl 35.45 Cl.upf
Br 79.90 Br.upf
Nb 92.91 Nb.upf
S 32.06 S.upf
CELL_PARAMETERS angstrom
6.9827 0.0000 0.0000
-3.4914 6.0472 0.0000
0.0000 0.0000 6.5663
ATOMIC_POSITIONS crystal
Cl 0.3315 0.1658 0.5709
Cl 0.8342 0.1658 0.5709
Cl 0.0000 0.0000 0.9713
Br 0.5032 0.4968 0.0347
Br 0.9936 0.4968 0.0347
Cl 0.8342 0.6685 0.5709
Nb 0.1946 0.8054 0.7726
Br 0.5032 0.0064 0.0347
Nb 0.6108 0.8054 0.7726
Nb 0.1946 0.3892 0.7726
S 0.3333 0.6667 0.5094
```



Entry 7:
! HfTcNi (GGA-PBE, optimized geometry); values from VASP
! Offset from the most stable computed form = 0.0 meV per atom
&SYSTEM
  ibrav = 0, nat = 3, ntyp = 3
/
ATOMIC_SPECIES
Ni 58.69 Ni.upf
Tc 98.00 Tc.upf
Hf 178.49 Hf.upf
CELL_PARAMETERS angstrom
0.0000 2.9464 2.9464
2.9464 0.0000 2.9464
2.9464 2.9464 0.0000
ATOMIC_POSITIONS crystal
Ni 0.0000 0.0000 0.0000
Tc 0.7500 0.7500 0.7500
Hf 0.2500 0.2500 0.2500



Entry 8:
Computed, not measured: crystalline HfSbO3 at its relaxed geometry at the GGA-PBE level of DFT. Values from VASP.

Quantum ESPRESSO input file:
```
&SYSTEM
  ibrav = 0, nat = 10, ntyp = 3
/
ATOMIC_SPECIES
O 16.00 O.upf
Hf 178.49 Hf.upf
Sb 121.76 Sb.upf
CELL_PARAMETERS angstrom
-2.6365 4.5665 0.0000
2.6365 4.5665 0.0000
0.0000 3.0443 -6.1814
ATOMIC_POSITIONS crystal
O 0.5551 0.2272 0.3200
O 0.2272 0.8977 0.3200
O 0.4449 0.7728 0.6800
O 0.1023 0.4449 0.6800
Hf 0.8370 0.8370 0.4889
O 0.8977 0.5551 0.3200
Sb 0.3695 0.3695 0.8914
O 0.7728 0.1023 0.6800
Sb 0.6305 0.6305 0.1086
Hf 0.1630 0.1630 0.5111
```



Entry 9:
Computed, not measured: crystalline NdDyAg2Bi4 at its relaxed geometry at the GGA-PBE level of DFT. Values from VASP.

Quantum ESPRESSO input file:
```
&SYSTEM
  ibrav = 0, nat = 8, ntyp = 4
/
ATOMIC_SPECIES
Ag 107.87 Ag.upf
Nd 144.24 Nd.upf
Bi 208.98 Bi.upf
Dy 162.50 Dy.upf
CELL_PARAMETERS angstrom
4.5772 0.0000 0.0000
0.0000 4.5772 0.0000
0.0000 0.0000 10.3961
ATOMIC_POSITIONS crystal
Ag 0.5000 0.0000 0.9958
Nd 0.5000 0.5000 0.2538
Bi 0.0000 0.0000 0.1849
Bi 0.0000 0.5000 0.5051
Bi 0.5000 0.0000 0.5051
Ag 0.0000 0.5000 0.9958
Bi 0.5000 0.5000 0.8094
Dy 0.0000 0.0000 0.7500
```



Entry 10:
Computed, not measured: crystalline AlTcGe2 at its relaxed geometry at the GGA-PBE level of DFT. Values from VASP.

Quantum ESPRESSO input file:
```
&SYSTEM
  ibrav = 0, nat = 4, ntyp = 3
/
ATOMIC_SPECIES
Ge 72.64 Ge.upf
Al 26.98 Al.upf
Tc 98.00 Tc.upf
CELL_PARAMETERS angstrom
2.2408 1.2937 3.6591
-2.2408 1.2937 3.6591
0.0000 -2.5874 3.6591
ATOMIC_POSITIONS crystal
Ge 0.7500 0.7500 0.7500
Al 0.2500 0.2500 0.2500
Ge 0.5000 0.5000 0.5000
Tc 0.0000 0.0000 0.0000
```



Entry 11:
Computed, not measured: crystalline HgHI at its relaxed geometry at the GGA-PBE level of DFT. Values from VASP.

Quantum ESPRESSO input file:
```
&SYSTEM
  ibrav = 0, nat = 6, ntyp = 3
/
ATOMIC_SPECIES
Hg 200.59 Hg.upf
I 126.90 I.upf
H 1.01 H.upf
CELL_PARAMETERS angstrom
-1.3615 -4.0207 -1.2231
2.7858 -2.7418 -2.0600
3.3572 -4.2741 10.0153
ATOMIC_POSITIONS crystal
Hg 0.8089 0.2750 0.5989
I 0.4754 0.9423 0.4557
H 0.8198 0.3180 0.1975
Hg 0.8028 0.2664 0.8341
H 0.7617 0.2185 0.2363
I 0.4693 0.9323 0.9772
```



Entry 12:
Computed, not measured: crystalline TbZrPd2 at its relaxed geometry at the GGA-PBE level of DFT. Values from VASP.

Quantum ESPRESSO input file:
```
&SYSTEM
  ibrav = 0, nat = 4, ntyp = 3
/
ATOMIC_SPECIES
Zr 91.22 Zr.upf
Pd 106.42 Pd.upf
Tb 158.93 Tb.upf
CELL_PARAMETERS angstrom
4.5382 0.0000 0.0000
0.0000 1.7549 5.1988
0.0000 -1.7549 5.1988
ATOMIC_POSITIONS crystal
Zr 0.0000 0.3618 0.3618
Pd 0.0000 0.0861 0.0861
Tb 0.5000 0.6420 0.6420
Pd 0.5000 0.9102 0.9102
```



Entry 13:
Computed, not measured: crystalline NaMoPb at its relaxed geometry at the GGA-PBE level of DFT. Values from VASP.

Quantum ESPRESSO input file:
```
&SYSTEM
  ibrav = 0, nat = 3, ntyp = 3
/
ATOMIC_SPECIES
Na 22.99 Na.upf
Pb 207.20 Pb.upf
Mo 95.94 Mo.upf
CELL_PARAMETERS angstrom
0.0000 3.3664 3.3664
3.3664 0.0000 3.3664
3.3664 3.3664 0.0000
ATOMIC_POSITIONS crystal
Na 0.0000 0.0000 0.0000
Pb 0.7500 0.7500 0.7500
Mo 0.2500 0.2500 0.2500
```



Entry 14:
Computed, not measured: crystalline YNiAu2 at its relaxed geometry at the GGA-PBE level of DFT. Values from VASP.

Quantum ESPRESSO input file:
```
&SYSTEM
  ibrav = 0, nat = 4, ntyp = 3
/
ATOMIC_SPECIES
Au 196.97 Au.upf
Ni 58.69 Ni.upf
Y 88.91 Y.upf
CELL_PARAMETERS angstrom
3.6601 -2.2461 1.9648
4.3570 1.7742 -0.4128
2.1616 1.8534 3.7676
ATOMIC_POSITIONS crystal
Au 0.0000 0.0000 0.0000
Ni 0.2500 0.2500 0.2500
Au 0.7500 0.7500 0.7500
Y 0.5000 0.5000 0.5000
```



Entry 15:
! InAgNO (GGA-PBE, optimized geometry); values from VASP
! Offset from the most stable computed form = 103.5 meV per atom
&SYSTEM
  ibrav = 0, nat = 16, ntyp = 4
/
ATOMIC_SPECIES
O 16.00 O.upf
In 114.82 In.upf
Ag 107.87 Ag.upf
N 14.01 N.upf
CELL_PARAMETERS angstrom
-5.4603 0.6880 -1.0983
1.1004 -0.3898 -5.7147
-1.0138 -7.5369 0.3189
ATOMIC_POSITIONS crystal
O 0.3879 0.4401 0.8566
In 0.5268 0.0803 0.3737
O 0.8879 0.5599 0.1434
In 0.0268 0.4197 0.3737
Ag 0.4730 0.5490 0.1224
In 0.0268 0.9197 0.6263
N 0.4100 0.9321 0.6165
N 0.9100 0.5679 0.6165
Ag 0.9730 0.4510 0.8776
O 0.3879 0.9401 0.1434
N 0.4100 0.4321 0.3835
N 0.9100 0.0679 0.3835
Ag 0.4730 0.0490 0.8776
Ag 0.9730 0.9510 0.1224
In 0.5268 0.5803 0.6263
O 0.8879 0.0599 0.8566



Entry 16:
! KLuU (GGA-PBE, optimized geometry); values from VASP
! Offset from the most stable computed form = 0.0 meV per atom
&SYSTEM
  ibrav = 0, nat = 3, ntyp = 3
/
ATOMIC_SPECIES
U 238.03 U.upf
Lu 174.97 Lu.upf
K 39.10 K.upf
CELL_PARAMETERS angstrom
3.4977 -4.2348 1.4494
-1.7053 -3.9482 3.7111
-1.0611 -5.2923 -1.7704
ATOMIC_POSITIONS crystal
U 0.7500 0.7500 0.7500
Lu 0.0000 0.0000 0.0000
K 0.2500 0.2500 0.2500



Entry 17:
Computed, not measured: crystalline InGaHgSe4 at its relaxed geometry at the GGA-PBE level of DFT. Values from VASP.

Quantum ESPRESSO input file:
```
&SYSTEM
  ibrav = 0, nat = 7, ntyp = 4
/
ATOMIC_SPECIES
In 114.82 In.upf
Se 78.96 Se.upf
Ga 69.72 Ga.upf
Hg 200.59 Hg.upf
CELL_PARAMETERS angstrom
4.8657 -4.5557 -2.4567
3.9537 -2.2183 5.4692
-7.0453 0.2342 -0.8798
ATOMIC_POSITIONS crystal
In 0.7500 0.2500 0.5000
Se 0.5753 0.1142 0.9547
Se 0.3794 0.4247 0.5389
Ga 0.5000 0.5000 0.0000
Hg 0.0000 0.0000 0.0000
Se 0.8858 0.8405 0.4611
Se 0.1595 0.6206 0.0453
```



Entry 18:
Computed, not measured: crystalline TbNdNi2Sn at its relaxed geometry at the GGA-PBE level of DFT. Values from VASP.

Quantum ESPRESSO input file:
```
&SYSTEM
  ibrav = 0, nat = 5, ntyp = 4
/
ATOMIC_SPECIES
Tb 158.93 Tb.upf
Sn 118.71 Sn.upf
Ni 58.69 Ni.upf
Nd 144.24 Nd.upf
CELL_PARAMETERS angstrom
3.7041 0.0000 0.0000
0.0000 2.0168 6.9920
0.0000 -2.0168 6.9920
ATOMIC_POSITIONS crystal
Tb 0.5000 0.6364 0.6364
Sn 0.0000 0.0030 0.0030
Ni 0.0000 0.7993 0.7993
Ni 0.0000 0.1965 0.1965
Nd 0.5000 0.3648 0.3648
```



Entry 19:
Computed, not measured: crystalline ScNb2Ag at its relaxed geometry at the GGA-PBE level of DFT. Values from VASP.

Quantum ESPRESSO input file:
```
&SYSTEM
  ibrav = 0, nat = 4, ntyp = 3
/
ATOMIC_SPECIES
Nb 92.91 Nb.upf
Sc 44.96 Sc.upf
Ag 107.87 Ag.upf
CELL_PARAMETERS angstrom
-0.9225 -1.4872 4.3836
3.5444 -0.8471 2.9996
0.7247 2.8782 3.6701
ATOMIC_POSITIONS crystal
Nb 0.5000 0.5000 0.5000
Sc 0.0000 0.0000 0.0000
Ag 0.2500 0.2500 0.2500
Nb 0.7500 0.7500 0.7500
```



Entry 20:
Computed, not measured: crystalline Zr2Ga2Cu2NiPd at its relaxed geometry at the GGA-PBE level of DFT. Values from VASP.

Quantum ESPRESSO input file:
```
&SYSTEM
  ibrav = 0, nat = 8, ntyp = 5
/
ATOMIC_SPECIES
Ga 69.72 Ga.upf
Cu 63.55 Cu.upf
Pd 106.42 Pd.upf
Zr 91.22 Zr.upf
Ni 58.69 Ni.upf
CELL_PARAMETERS angstrom
-2.0958 2.7755 -2.7100
2.2611 -1.6288 -3.4168
-4.5275 -4.3291 -0.9325
ATOMIC_POSITIONS crystal
Ga 0.5000 0.0000 0.2575
Ga 0.0000 0.5000 0.7425
Cu 0.5000 0.5000 0.5000
Pd 0.5000 0.5000 0.0000
Cu 0.0000 0.0000 0.0000
Zr 0.5000 0.0000 0.7374
Ni 0.0000 0.0000 0.5000
Zr 0.0000 0.5000 0.2626
```



Entry 21:
! AlHPd3 (GGA-PBE, optimized geometry); values from VASP
! Offset from the most stable computed form = 7.7 meV per atom
&SYSTEM
  ibrav = 0, nat = 5, ntyp = 3
/
ATOMIC_SPECIES
H 1.01 H.upf
Al 26.98 Al.upf
Pd 106.42 Pd.upf
CELL_PARAMETERS angstrom
-1.8584 2.0770 2.8023
-2.1942 -3.1644 0.8902
2.7115 -1.1372 2.6410
ATOMIC_POSITIONS crystal
H 0.5000 0.5000 0.5000
Al 0.0000 0.0000 0.0000
Pd 0.0000 0.5000 0.5000
Pd 0.5000 0.0000 0.5000
Pd 0.5000 0.5000 0.0000



Entry 22:
Computed, not measured: crystalline NbAs2O at its relaxed geometry at the GGA-PBE level of DFT. Values from VASP.

Quantum ESPRESSO input file:
```
&SYSTEM
  ibrav = 0, nat = 8, ntyp = 3
/
ATOMIC_SPECIES
As 74.92 As.upf
Nb 92.91 Nb.upf
O 16.00 O.upf
CELL_PARAMETERS angstrom
-0.8102 -2.4312 -2.9114
1.7291 -2.8865 1.9292
-7.6083 -2.0169 3.8015
ATOMIC_POSITIONS crystal
As 0.5000 0.0000 0.2887
As 0.0000 0.5000 0.7113
As 0.0000 0.5000 0.1155
Nb 0.0000 0.0000 0.5000
Nb 0.5000 0.5000 0.5000
As 0.5000 0.0000 0.8845
O 0.0000 0.0000 0.0000
O 0.5000 0.5000 0.0000
```



Entry 23:
! BaZrPd (GGA-PBE, optimized geometry); values from VASP
! Offset from the most stable computed form = 0.0 meV per atom
&SYSTEM
  ibrav = 0, nat = 3, ntyp = 3
/
ATOMIC_SPECIES
Ba 137.33 Ba.upf
Pd 106.42 Pd.upf
Zr 91.22 Zr.upf
CELL_PARAMETERS angstrom
2.7845 -4.1329 -0.8306
-1.2333 -3.1678 -3.7375
2.9087 -0.3003 -4.1200
ATOMIC_POSITIONS crystal
Ba 0.5000 0.5000 0.5000
Pd 0.2500 0.2500 0.2500
Zr 0.0000 0.0000 0.0000



Entry 24:
Computed, not measured: crystalline RbThTl at its relaxed geometry at the GGA-PBE level of DFT. Values from VASP.

Quantum ESPRESSO input file:
```
&SYSTEM
  ibrav = 0, nat = 3, ntyp = 3
/
ATOMIC_SPECIES
Th 232.04 Th.upf
Rb 85.47 Rb.upf
Tl 204.38 Tl.upf
CELL_PARAMETERS angstrom
5.4702 -0.7340 -0.7920
3.0154 -2.7807 3.7768
1.9874 -5.0688 -1.2028
ATOMIC_POSITIONS crystal
Th 0.7500 0.7500 0.7500
Rb 0.2500 0.2500 0.2500
Tl 0.0000 0.0000 0.0000
```



Entry 25:
! TbYSi2Os (GGA-PBE, optimized geometry); values from VASP
! Offset from the most stable computed form = 0.0 meV per atom
&SYSTEM
  ibrav = 0, nat = 10, ntyp = 4
/
ATOMIC_SPECIES
Si 28.09 Si.upf
Tb 158.93 Tb.upf
Os 190.23 Os.upf
Y 88.91 Y.upf
CELL_PARAMETERS angstrom
-5.3628 1.1178 -1.8072
-5.3103 -0.0653 2.2521
5.7942 7.9001 2.2276
ATOMIC_POSITIONS crystal
Si 0.5016 0.5016 0.8749
Tb 0.9913 0.9913 0.3212
Os 0.2707 0.2707 0.6264
Si 0.6457 0.6457 0.5607
Si 0.3543 0.3543 0.4393
Si 0.4984 0.4984 0.1251
Y 0.1854 0.1854 0.1107
Os 0.7293 0.7293 0.3736
Y 0.8146 0.8146 0.8893
Tb 0.0087 0.0087 0.6788



Entry 26:
Computed, not measured: crystalline HfInAu2 at its relaxed geometry at the GGA-PBE level of DFT. Values from VASP.

Quantum ESPRESSO input file:
```
&SYSTEM
  ibrav = 0, nat = 4, ntyp = 3
/
ATOMIC_SPECIES
Au 196.97 Au.upf
In 114.82 In.upf
Hf 178.49 Hf.upf
CELL_PARAMETERS angstrom
-1.5924 -4.1744 1.7247
-4.3213 -0.2522 2.0490
-3.5695 -2.3004 -2.2143
ATOMIC_POSITIONS crystal
Au 0.7500 0.7500 0.7500
In 0.5000 0.5000 0.5000
Hf 0.2500 0.2500 0.2500
Au 0.0000 0.0000 0.0000
```



Entry 27:
Computed, not measured: crystalline NdMg2Ag at its relaxed geometry at the GGA-PBE level of DFT. Values from VASP.

Quantum ESPRESSO input file:
```
&SYSTEM
  ibrav = 0, nat = 4, ntyp = 3
/
ATOMIC_SPECIES
Ag 107.87 Ag.upf
Nd 144.24 Nd.upf
Mg 24.30 Mg.upf
CELL_PARAMETERS angstrom
-1.2439 -3.7453 -0.8570
3.3147 -0.2800 -3.5875
3.2681 -1.8087 3.1608
ATOMIC_POSITIONS crystal
Ag 0.0000 0.5000 0.2516
Nd 0.0000 0.0000 0.7470
Mg 0.5000 0.5000 0.7548
Mg 0.5000 0.0000 0.2466
```



| no. | total energy (eV/atom) |
| --- | --- |
| 1 | -4.91 |
| 2 | -5.50 |
| 3 | -4.40 |
| 4 | -6.60 |
| 5 | -4.96 |
| 6 | -5.40 |
| 7 | -8.45 |
| 8 | -8.03 |
| 9 | -4.39 |
| 10 | -5.51 |
| 11 | -1.90 |
| 12 | -6.63 |
| 13 | -3.95 |
| 14 | -5.09 |
| 15 | -4.56 |
| 16 | -3.80 |
| 17 | -3.35 |
| 18 | -5.47 |
| 19 | -7.17 |
| 20 | -5.65 |
| 21 | -5.08 |
| 22 | -6.27 |
| 23 | -4.87 |
| 24 | -2.86 |
| 25 | -7.43 |
| 26 | -5.00 |
| 27 | -2.69 |